1.
Computed, not measured: GdCoSi3 after structural relaxation at the PBEsol level of DFT.

```
GdCoSi3
1.0
-2.013 2.013 4.733
2.013 -2.013 4.733
2.013 2.013 -4.733
Gd Co Si
1 1 3
Direct
0.000 0.000 0.000
0.657 0.657 0.000
0.258 0.758 0.500
0.426 0.426 0.000
0.758 0.258 0.500
```

Calculated values
Its volume is 15.3 Å³/atom. Its formation energy (no corrections) is -783 meV per atom. As for the space group: I4mm, No. 107. Its density of states at the Fermi level is 1.6 states/eV/cell. The calculation puts the raw total energy at -8.67 eV per atom.

2.
Computed, not measured: GdCo2Si2 after structural relaxation at the PBEsol level of DFT.

```
GdCo2Si2
1.0
-1.922 1.922 4.857
1.922 -1.922 4.857
1.922 1.922 -4.857
Gd Co Si
1 2 2
Direct
0.000 0.000 0.000
0.250 0.750 0.500
0.750 0.250 0.500
0.371 0.371 0.000
0.629 0.629 0.000
```

Calculated values
Its volume is 14.4 Å³/atom. Its formation energy (no corrections) is -879 meV per atom. As for the space group: I4/mmm, No. 139. Its density of states at the Fermi level is 2.6 states/eV/cell. The calculation puts the raw total energy at -9.16 eV per atom.